! PBE TaSiIr2, optimized geometry; values from VASP
&SYSTEM
  ibrav = 0, nat = 4, ntyp = 3
/
ATOMIC_SPECIES
Ir 192.22 Ir.upf
Si 28.09 Si.upf
Ta 180.95 Ta.upf
ATOMIC_POSITIONS angstrom
Ir 0.0000 0.0000 0.0000
Ir 2.3293 2.3293 0.0000
Si 2.3293 0.0000 1.4053
Ta 0.0000 2.3293 1.4053
CELL_PARAMETERS angstrom
4.6585 0.0000 0.0000
0.0000 4.6585 0.0000
0.0000 0.0000 2.8106
! * ρ: 16.2 g/cm3
! * DFT total energy: -8.979 eV per atom


! PBE Na2LaGe2, optimized geometry; values from VASP
&SYSTEM
  ibrav = 0, nat = 5, ntyp = 3
/
ATOMIC_SPECIES
Na 22.99 Na.upf
Ge 72.64 Ge.upf
La 138.91 La.upf
ATOMIC_POSITIONS angstrom
Na 2.5770 2.5770 1.2829
Na 5.1539 5.1539 3.4951
Ge 5.1539 2.5770 2.3890
Ge 2.5770 5.1539 2.3890
La 0.0000 0.0000 0.0000
CELL_PARAMETERS angstrom
5.1539 0.0000 0.0000
0.0000 5.1539 0.0000
2.5770 2.5770 4.7779
! * ρ: 4.3 g/cm3
! * E_form: -0.03 eV per atom
! * energy above the most stable polymorph in this dataset: 131.8 meV per atom


! PBE Nb4TcW2, optimized geometry; values from VASP
&SYSTEM
  ibrav = 0, nat = 7, ntyp = 3
/
ATOMIC_SPECIES
Nb 92.91 Nb.upf
Tc 98.00 Tc.upf
W 183.84 W.upf
ATOMIC_POSITIONS angstrom
Nb -1.0483 -1.9834 1.6078
Nb 0.7146 0.4719 2.6238
Nb -0.9884 2.4505 0.7974
Nb 2.7514 0.0047 0.2186
Tc 0.0000 0.0000 0.0000
W 1.7031 -1.9787 1.8265
W -2.0367 0.4672 2.4052
CELL_PARAMETERS angstrom
-2.0966 -3.9667 3.2157
5.5027 0.0094 0.4372
-1.9768 4.9011 1.5947
! * ρ: 10.7 g/cm3
! * E_form: 0.20 eV per atom
! * energy above the most stable polymorph in this dataset: 0.0 meV per atom


! PBE Er2C3N6, optimized geometry; values from VASP
&SYSTEM
  ibrav = 0, nat = 11, ntyp = 3
/
ATOMIC_SPECIES
Er 167.26 Er.upf
C 12.01 C.upf
N 14.01 N.upf
ATOMIC_POSITIONS angstrom
Er 5.0644 -4.5568 -1.5946
Er 1.6333 -0.7299 0.6636
C 4.4531 -2.0662 0.5040
C 2.2445 -3.2205 -1.4351
C 0.9455 -0.5825 -2.3598
N 5.1735 -4.3716 2.4640
N 2.9074 -3.5903 -2.4275
N 1.6287 -2.8730 -0.4446
N 1.5242 -0.9151 -3.3950
N 3.7903 -1.6964 1.4965
N 5.0690 -2.4138 -0.4864
CELL_PARAMETERS angstrom
-1.5988 -3.3974 0.1980
1.8910 -1.1650 -4.7195
6.4055 -0.7244 3.5905
! * ρ: 5.4 g/cm3
! * DFT total energy: -8.682 eV per atom


! PBE KBaSmBr6, optimized geometry; values from VASP
&SYSTEM
  ibrav = 0, nat = 18, ntyp = 4
/
ATOMIC_SPECIES
K 39.10 K.upf
Ba 137.33 Ba.upf
Sm 150.36 Sm.upf
Br 79.90 Br.upf
ATOMIC_POSITIONS angstrom
K 0.0000 0.0000 0.0000
K 0.0000 0.0000 6.8691
Ba 0.0000 4.6422 3.4345
Ba 4.0203 2.3211 10.3036
Sm 4.0203 2.3211 3.4345
Sm 0.0000 4.6422 10.3036
Br 2.7903 4.3419 1.7937
Br 6.3853 2.3759 1.7937
Br -1.1351 6.7178 8.6628
Br -2.3651 4.5874 11.9445
Br 1.6552 2.3759 5.0754
Br 5.2502 4.3419 5.0754
Br 1.1351 6.7178 11.9445
Br 5.1553 0.2455 5.0754
Br -1.2300 2.6214 8.6628
Br 2.8852 0.2455 1.7937
Br 2.3651 4.5874 8.6628
Br 1.2300 2.6214 11.9445
CELL_PARAMETERS angstrom
8.0405 0.0000 0.0000
-4.0203 6.9633 0.0000
0.0000 0.0000 13.7382
! * ρ: 3.5 g/cm3
! * DFT total energy: -3.932 eV per atom


! PBE Ca2ZrZnGe, optimized geometry; values from VASP
&SYSTEM
  ibrav = 0, nat = 5, ntyp = 4
/
ATOMIC_SPECIES
Ge 72.64 Ge.upf
Ca 40.08 Ca.upf
Zn 65.41 Zn.upf
Zr 91.22 Zr.upf
ATOMIC_POSITIONS angstrom
Ge 2.3167 0.1740 1.0302
Ca -1.2143 1.0399 2.5551
Ca -0.2467 -2.8214 1.0311
Zn 0.8558 -1.6075 4.6164
Zr 0.0000 0.0000 0.0000
CELL_PARAMETERS angstrom
-0.4933 -5.6428 2.0622
4.6334 0.3479 2.0604
-2.4285 2.0799 5.1101
! * ρ: 2.8 g/cm3
! * E_form: 0.66 eV per atom


! PBE SnP2IrCl, optimized geometry; values from VASP
&SYSTEM
  ibrav = 0, nat = 5, ntyp = 4
/
ATOMIC_SPECIES
P 30.97 P.upf
Ir 192.22 Ir.upf
Sn 118.71 Sn.upf
Cl 35.45 Cl.upf
ATOMIC_POSITIONS angstrom
P 0.0000 2.5015 0.0000
P 2.5015 0.0000 0.0000
Ir 2.5015 2.5015 2.3987
Sn 0.0000 0.0000 0.0000
Cl 0.0000 0.0000 2.3987
CELL_PARAMETERS angstrom
5.0030 0.0000 0.0000
0.0000 5.0030 0.0000
0.0000 0.0000 4.7973
! * ρ: 5.6 g/cm3
! * energy above the most stable polymorph in this dataset: 1206.0 meV per atom


! PBE CaPaZnIn, optimized geometry; values from VASP
&SYSTEM
  ibrav = 0, nat = 4, ntyp = 4
/
ATOMIC_SPECIES
Zn 65.41 Zn.upf
Pa 231.04 Pa.upf
Ca 40.08 Ca.upf
In 114.82 In.upf
ATOMIC_POSITIONS angstrom
Zn 0.0000 0.0000 0.0000
Pa 2.6212 1.5133 1.0701
Ca 7.8636 4.5400 3.2103
In 5.2424 3.0267 2.1402
CELL_PARAMETERS angstrom
5.2424 0.0000 0.0000
2.6212 4.5400 0.0000
2.6212 1.5133 4.2804
! * ρ: 7.4 g/cm3
! * E_form: 0.03 eV per atom